Material: Cd15Ga2Hg2
Method: DFT, PBE
State: optimized geometry

Cell and atoms, written as POSCAR:
```
Cd15Ga2Hg2
1.0
7.658 -0.274 1.473
1.166 7.574 1.470
-0.331 -0.277 7.791
Cd Ga Hg
15 2 2
Direct
0.000 0.500 0.000
0.000 0.000 0.500
0.500 0.000 0.000
0.314 0.000 0.686
0.686 0.314 0.000
0.000 0.686 0.314
0.314 0.686 0.000
0.000 0.314 0.686
0.686 0.000 0.314
0.347 0.850 0.347
0.347 0.347 0.850
0.850 0.346 0.346
0.653 0.150 0.653
0.653 0.653 0.150
0.150 0.654 0.654
0.910 0.910 0.910
0.090 0.090 0.090
0.612 0.612 0.612
0.388 0.388 0.388
```

Output
N(E_F): 7.61 states/eV per cell
formation energy: 0.0868 eV per atom
magnetization: 0.00 μB per cell
space-group type: R-3m (166)